Record 1
Below is an optimized crystal structure of ZrTaAu, with properties calculated at the PBEsol level.

* symmetry: P-6m2 (187)
* distance to the lowest polymorph of the same formula: 0.245 eV per atom
* energy relative to the elements: 32.6 meV per atom

a b c (Å): 4.8033 4.8033 2.7991
angles (deg): 90.00 90.00 120.00
Last column: nearest neighbours and their distance in Å.
Fractional positions:
Zr (0.0000, 0.0000, 0.0000)  2 Zr 2.80, 6 Au 3.11, 6 Ta 3.11
Ta (0.3333, 0.6667, 0.5000)  3 Au 2.77, 2 Ta 2.80
Au (0.6667, 0.3333, 0.5000)  3 Ta 2.77, 2 Au 2.80

Record 2
Below is an optimized crystal structure of Li2Fe3SnO8, with properties calculated at the PBEsol level.

* symmetry: P2/c (13)
* distance to the lowest polymorph of the same formula: 0.129 eV per atom
* formation energy from raw total energies: -1.40 eV per atom

a b c (Å): 5.1498 5.7195 10.3883
angles (deg): 90.00 110.41 90.00
Last column: nearest neighbours and their distance in Å.
Fractional positions:
Li (0.9998, 0.2275, 0.0041)  5 O 2.01-2.11
Li (0.0002, 0.2275, 0.4959)  5 O 2.01-2.11
Li (0.9998, 0.7725, 0.5041)  5 O 2.01-2.11
Li (0.0002, 0.7725, 0.9959)  5 O 2.01-2.11
Fe (0.5000, 0.0000, 0.0000)  4 O 1.82-2.02
Fe (0.5000, 0.0000, 0.5000)  4 O 1.82-2.02
Fe (0.5000, 0.2181, 0.2500)  4 O 1.85-1.90
Fe (0.5000, 0.5000, 0.0000)  4 O 1.85-1.88
Fe (0.5000, 0.5000, 0.5000)  4 O 1.85-1.88
Fe (0.5000, 0.7819, 0.7500)  4 O 1.85-1.90
Sn (0.0000, 0.4816, 0.7500)  6 O 2.03-2.17
Sn (0.0000, 0.5184, 0.2500)  6 O 2.03-2.17
O (0.2569, 0.2736, 0.8990)  2 Fe 1.85-2.05, 1 Li 2.01, 1 Sn 2.03
O (0.2569, 0.7264, 0.3990)  2 Fe 1.85-2.05, 1 Li 2.01, 1 Sn 2.03
O (0.2582, 0.4517, 0.1424)  1 Fe 1.90, 1 Li 2.04, 1 Sn 2.05
O (0.2582, 0.5483, 0.6424)  1 Fe 1.90, 1 Li 2.04, 1 Sn 2.05
O (0.2667, 0.2667, 0.3923)  2 Fe 1.88-2.02, 1 Li 2.03
O (0.2667, 0.7333, 0.8923)  2 Fe 1.88-2.02, 1 Li 2.03
O (0.3081, 0.0043, 0.1176)  2 Fe 1.82-1.85
O (0.3081, 0.9957, 0.6176)  2 Fe 1.82-1.85
O (0.6919, 0.0043, 0.3824)  2 Fe 1.82-1.85
O (0.6919, 0.9957, 0.8824)  2 Fe 1.82-1.85
O (0.7333, 0.2667, 0.1077)  2 Fe 1.88-2.02, 1 Li 2.03
O (0.7333, 0.7333, 0.6077)  2 Fe 1.88-2.02, 1 Li 2.03
O (0.7418, 0.4517, 0.3576)  1 Fe 1.90, 1 Li 2.04, 1 Sn 2.05
O (0.7418, 0.5483, 0.8576)  1 Fe 1.90, 1 Li 2.04, 1 Sn 2.05
O (0.7431, 0.2736, 0.6010)  2 Fe 1.85-2.05, 1 Li 2.01, 1 Sn 2.03
O (0.7431, 0.7264, 0.1010)  2 Fe 1.85-2.05, 1 Li 2.01, 1 Sn 2.03

Record 3
Below is an optimized crystal structure of Cd2AgHg, with properties calculated at the PBEsol level.

* symmetry: P1 (1)
* energy relative to the elements: -12.3 meV per atom

a b c (Å): 4.2499 4.2642 5.1489
angles (deg): 66.43 67.08 87.60
Last column: nearest neighbours and their distance in Å.
Fractional positions:
Cd (0.0000, 0.0000, 0.0000)  4 Hg 2.93-3.07, 4 Ag 2.95-3.11, 4 Cd 2.96-3.10
Cd (0.2508, 0.7488, 0.5007)  4 Ag 2.94-3.07, 4 Hg 2.96-3.10, 4 Cd 2.96-3.10
Ag (0.7529, 0.2488, 0.4993)  8 Cd 2.94-3.11, 4 Hg 2.95-3.10
Hg (0.5025, 0.4981, 0.0001)  8 Cd 2.93-3.10, 4 Ag 2.95-3.10

Record 4
Below is an optimized crystal structure of Li2CaPb, with properties calculated at the PBEsol level.

* symmetry: Pmmm (47)
* energy relative to the elements: -264.7 meV per atom

a b c (Å): 4.0265 4.9577 4.9642
angles (deg): 90.00 90.00 90.00
Last column: nearest neighbours and their distance in Å.
Fractional positions:
Li (0.0000, 0.0000, 0.0000)  4 Pb 3.19, 4 Li 3.20, 4 Ca 3.51
Li (0.5000, 0.0000, 0.5000)  4 Ca 3.19, 4 Li 3.20, 4 Pb 3.51
Ca (0.0000, 0.5000, 0.5000)  8 Li 3.19-3.51, 4 Pb 3.20
Pb (0.5000, 0.5000, 0.0000)  8 Li 3.19-3.51, 4 Ca 3.20

Record 5
Below is an optimized crystal structure of ReBi3Mo, with properties calculated at the PBEsol level.

* symmetry: Pm-3m (221)
* energy relative to the elements: 1736.6 meV per atom

a b c (Å): 5.2555 5.2555 5.2555
angles (deg): 90.00 90.00 90.00
Last column: nearest neighbours and their distance in Å.
Fractional positions:
Re (0.0000, 0.0000, 0.0000)  12 Bi 3.72
Bi (0.0000, 0.5000, 0.5000)  2 Mo 2.63
Bi (0.5000, 0.0000, 0.5000)  2 Mo 2.63
Bi (0.5000, 0.5000, 0.0000)  2 Mo 2.63
Mo (0.5000, 0.5000, 0.5000)  6 Bi 2.63

Record 6
Below is an optimized crystal structure of PrNb5O14, with properties calculated at the PBEsol level.

* symmetry: Pmmn (59)
* formation energy from raw total energies: -2.68 eV per atom

a b c (Å): 7.7436 20.2029 6.2917
angles (deg): 90.00 90.00 90.00
Last column: nearest neighbours and their distance in Å.
Fractional positions:
Pr (0.2500, 0.0129, 0.0469)  8 O 2.41-2.60
Pr (0.2500, 0.4871, 0.0469)  8 O 2.41-2.60
Pr (0.7500, 0.5129, 0.9531)  8 O 2.41-2.60
Pr (0.7500, 0.9871, 0.9531)  8 O 2.41-2.60
Nb (0.0010, 0.2500, 0.5087)  6 O 1.93-2.10
Nb (0.0024, 0.0769, 0.5958)  6 O 1.95-2.17
Nb (0.0024, 0.4231, 0.5958)  6 O 1.95-2.17
Nb (0.0017, 0.6555, 0.9412)  6 O 1.93-2.10
Nb (0.0017, 0.8445, 0.9412)  6 O 1.93-2.10
Nb (0.4976, 0.0769, 0.5958)  6 O 1.95-2.17
Nb (0.4976, 0.4231, 0.5958)  6 O 1.95-2.17
Nb (0.4983, 0.6555, 0.9412)  6 O 1.93-2.10
Nb (0.4983, 0.8445, 0.9412)  6 O 1.93-2.10
Nb (0.4990, 0.2500, 0.5087)  6 O 1.93-2.10
Nb (0.5010, 0.7500, 0.4913)  6 O 1.93-2.10
Nb (0.5017, 0.1555, 0.0588)  6 O 1.93-2.10
Nb (0.5017, 0.3445, 0.0588)  6 O 1.93-2.10
Nb (0.5024, 0.5769, 0.4042)  6 O 1.95-2.17
Nb (0.5024, 0.9231, 0.4042)  6 O 1.95-2.17
Nb (0.9983, 0.1555, 0.0588)  6 O 1.93-2.10
Nb (0.9983, 0.3445, 0.0588)  6 O 1.93-2.10
Nb (0.9976, 0.5769, 0.4042)  6 O 1.95-2.17
Nb (0.9976, 0.9231, 0.4042)  6 O 1.95-2.17
Nb (0.9990, 0.7500, 0.4913)  6 O 1.93-2.10
O (0.0052, 0.1531, 0.3927)  3 Nb 2.00-2.10
O (0.0052, 0.3469, 0.3927)  3 Nb 2.00-2.10
O (0.0056, 0.1846, 0.7672)  2 Nb 1.93-2.10
O (0.0056, 0.3154, 0.7672)  2 Nb 1.93-2.10
O (0.0122, 0.2500, 0.1580)  3 Nb 2.01-2.21
O (0.0165, 0.5660, 0.0717)  2 Nb 1.99-2.11
O (0.0165, 0.9340, 0.0717)  2 Nb 1.99-2.11
O (0.0392, 0.0269, 0.3356)  2 Nb 1.95-2.17
O (0.0392, 0.4731, 0.3356)  2 Nb 1.95-2.17
O (0.2500, 0.0690, 0.6754)  2 Nb 1.99
O (0.2500, 0.1331, 0.0909)  2 Nb 2.01
O (0.2500, 0.2500, 0.4987)  2 Nb 1.93
O (0.2500, 0.3669, 0.0909)  2 Nb 2.01
O (0.2500, 0.4310, 0.6754)  2 Nb 1.99
O (0.2500, 0.5790, 0.3811)  2 Nb 1.96
O (0.2500, 0.6479, 0.9038)  2 Nb 1.94
O (0.2500, 0.7500, 0.5054)  2 Nb 1.95
O (0.2500, 0.8521, 0.9038)  2 Nb 1.94
O (0.2500, 0.9210, 0.3811)  2 Nb 1.96
O (0.4608, 0.0269, 0.3356)  2 Nb 1.95-2.17
O (0.4608, 0.4731, 0.3356)  2 Nb 1.95-2.17
O (0.4835, 0.5660, 0.0717)  2 Nb 1.99-2.11
O (0.4835, 0.9340, 0.0717)  2 Nb 1.99-2.11
O (0.4878, 0.2500, 0.1580)  3 Nb 2.01-2.21
O (0.4944, 0.1846, 0.7672)  2 Nb 1.93-2.10
O (0.4944, 0.3154, 0.7672)  2 Nb 1.93-2.10
O (0.4948, 0.1531, 0.3927)  3 Nb 2.00-2.10
O (0.4948, 0.3469, 0.3927)  3 Nb 2.00-2.10
O (0.5052, 0.6531, 0.6073)  3 Nb 2.00-2.10
O (0.5052, 0.8469, 0.6073)  3 Nb 2.00-2.10
O (0.5056, 0.6846, 0.2328)  2 Nb 1.93-2.10
O (0.5056, 0.8154, 0.2328)  2 Nb 1.93-2.10
O (0.5122, 0.7500, 0.8420)  3 Nb 2.01-2.21
O (0.5165, 0.0660, 0.9283)  2 Nb 1.99-2.11
O (0.5165, 0.4340, 0.9283)  2 Nb 1.99-2.11
O (0.5392, 0.5269, 0.6644)  2 Nb 1.95-2.17
O (0.5392, 0.9731, 0.6644)  2 Nb 1.95-2.17
O (0.7500, 0.0790, 0.6189)  2 Nb 1.96
O (0.7500, 0.1479, 0.0962)  2 Nb 1.94
O (0.7500, 0.2500, 0.4946)  2 Nb 1.95
O (0.7500, 0.3521, 0.0962)  2 Nb 1.94
O (0.7500, 0.4210, 0.6189)  2 Nb 1.96
O (0.7500, 0.5690, 0.3246)  2 Nb 1.99
O (0.7500, 0.6331, 0.9091)  2 Nb 2.01
O (0.7500, 0.7500, 0.5013)  2 Nb 1.93
O (0.7500, 0.8669, 0.9091)  2 Nb 2.01
O (0.7500, 0.9310, 0.3246)  2 Nb 1.99
O (0.9608, 0.5269, 0.6644)  2 Nb 1.95-2.17
O (0.9608, 0.9731, 0.6644)  2 Nb 1.95-2.17
O (0.9835, 0.0660, 0.9283)  2 Nb 1.99-2.11
O (0.9835, 0.4340, 0.9283)  2 Nb 1.99-2.11
O (0.9878, 0.7500, 0.8420)  3 Nb 2.01-2.21
O (0.9944, 0.6846, 0.2328)  2 Nb 1.93-2.10
O (0.9944, 0.8154, 0.2328)  2 Nb 1.93-2.10
O (0.9948, 0.6531, 0.6073)  3 Nb 2.00-2.10
O (0.9948, 0.8469, 0.6073)  3 Nb 2.00-2.10

Record 7
Below is an optimized crystal structure of CrHgW2, with properties calculated at the PBEsol level.

* symmetry: Cm (8)
* energy relative to the elements: 616.6 meV per atom

a b c (Å): 5.0351 5.0351 4.4678
angles (deg): 112.86 112.86 36.87
Last column: nearest neighbours and their distance in Å.
Fractional positions:
Cr (0.0000, 0.0000, 0.0000)  4 W 2.49-2.71, 2 Hg 2.72
Hg (0.2464, 0.2464, 0.7767)  3 Cr 2.72-2.91, 8 W 2.74-3.01
W (0.4706, 0.4706, 0.4859)  4 Cr 2.71-2.80, 3 W 2.72-2.96, 4 Hg 2.89-3.01
W (0.7180, 0.7180, 0.2477)  2 Cr 2.49, 2 W 2.72, 4 Hg 2.74-2.77

Record 8
Below is an optimized crystal structure of Ga3WS, with properties calculated at the PBEsol level.

* symmetry: Pm-3m (221)
* formation energy from raw total energies: 0.93 eV per atom

a b c (Å): 4.9097 4.9097 4.9097
angles (deg): 90.00 90.00 90.00
Last column: nearest neighbours and their distance in Å.
Fractional positions:
Ga (0.0000, 0.0000, 0.5000)  2 W 2.45
Ga (0.0000, 0.5000, 0.0000)  2 W 2.45
Ga (0.5000, 0.0000, 0.0000)  2 W 2.45
W (0.0000, 0.0000, 0.0000)  6 Ga 2.45
S (0.5000, 0.5000, 0.5000)  12 Ga 3.47

Record 9
Below is an optimized crystal structure of GaC2Cl, with properties calculated at the PBEsol level.

* symmetry: Fm-3m (225)
* formation energy from raw total energies: 2.59 eV per atom

a b c (Å): 4.0589 4.0589 4.0589
angles (deg): 60.00 60.00 60.00
Last column: nearest neighbours and their distance in Å.
Fractional positions:
Ga (0.0000, 0.0000, 0.0000)  8 C 2.49
C (0.2500, 0.2500, 0.2500)  4 Cl 2.49, 4 Ga 2.49
C (0.7500, 0.7500, 0.7500)  4 Cl 2.49, 4 Ga 2.49
Cl (0.5000, 0.5000, 0.5000)  8 C 2.49

Record 10
Below is an optimized crystal structure of YMnMo2Ir, with properties calculated at the PBEsol level.

* symmetry: P4/mmm (123)
* energy relative to the elements: 997.3 meV per atom

a b c (Å): 4.7474 4.7474 4.6970
angles (deg): 90.00 90.00 90.00
Last column: nearest neighbours and their distance in Å.
Fractional positions:
Y (0.0000, 0.0000, 0.0000)  8 Mo 3.34, 4 Mn 3.36
Mn (0.5000, 0.5000, 0.0000)  2 Ir 2.35
Mo (0.0000, 0.5000, 0.5000)  2 Ir 2.37
Mo (0.5000, 0.0000, 0.5000)  2 Ir 2.37
Ir (0.5000, 0.5000, 0.5000)  2 Mn 2.35, 4 Mo 2.37

Record 11
Below is an optimized crystal structure of LaScCu2, with properties calculated at the PBEsol level.

* symmetry: Immm (71)
* distance to the lowest polymorph of the same formula: 0.072 eV per atom
* energy relative to the elements: -92.4 meV per atom

a b c (Å): 4.8351 4.8351 4.8351
angles (deg): 120.48 119.44 90.07
Last column: nearest neighbours and their distance in Å.
Fractional positions:
La (0.0000, 0.0000, 0.0000)  8 Cu 2.95-2.98
Sc (0.5000, 0.5000, 0.0000)  8 Cu 2.92-3.01
Cu (0.2574, 0.7574, 0.5000)  4 Sc 2.92-3.01, 4 La 2.95-2.98
Cu (0.7426, 0.2426, 0.5000)  4 Sc 2.92-3.01, 4 La 2.95-2.98

Record 12
Below is an optimized crystal structure of Sr2TlB, with properties calculated at the PBEsol level.

* symmetry: Fm-3m (225)
* distance to the lowest polymorph of the same formula: 0.000 eV per atom
* energy relative to the elements: 367.6 meV per atom

a b c (Å): 5.3363 5.3363 5.3363
angles (deg): 60.00 60.00 60.00
Last column: nearest neighbours and their distance in Å.
Fractional positions:
Sr (0.2500, 0.2500, 0.2500)  4 Tl 3.27, 4 B 3.27
Sr (0.7500, 0.7500, 0.7500)  4 Tl 3.27, 4 B 3.27
Tl (0.0000, 0.0000, 0.0000)  8 Sr 3.27
B (0.5000, 0.5000, 0.5000)  8 Sr 3.27

no.,D(E_F) (states/eV per cell),total magnetization (μB/atom)
1,3.3,0.000
2,8.4,0.714
3,1.1,0.000
4,2.4,0.002
5,4.2,0.722
6,0.0,0.000
7,2.6,0.000
8,4.1,0.533
9,2.2,0.000
10,6.2,0.555
11,3.3,0.000
12,2.3,0.000